# BaB PBE optimized geometry
# DFT formation energy (meV/atom): 1502.1
# Size of the total moment (μB per atom): 1.173
data_BaB
_symmetry_space_group_name_H-M 'P 1'
_symmetry_Int_Tables_number 1
_cell_length_a 6.833
_cell_length_b 6.833
_cell_length_c 6.833
_cell_angle_alpha 90.00
_cell_angle_beta 90.00
_cell_angle_gamma 90.00
loop_
_symmetry_equiv_pos_as_xyz
'x,y,z'
loop_
_atom_site_label
_atom_site_type_symbol
_atom_site_fract_x
_atom_site_fract_y
_atom_site_fract_z
_atom_site_occupancy
Ba1 Ba 0.000 0.000 0.000 1
Ba2 Ba 0.500 0.000 0.500 1
Ba3 Ba 0.000 0.500 0.500 1
Ba4 Ba 0.500 0.500 0.000 1
B1 B 0.750 0.250 0.750 1
B2 B 0.250 0.250 0.250 1
B3 B 0.250 0.750 0.750 1
B4 B 0.750 0.750 0.250 1

---

# BaB12 PBE optimized geometry
# DFT formation energy (meV/atom): 685.5
# Size of the total moment (μB per atom): 0.000
data_BaB12
_symmetry_space_group_name_H-M 'P 1'
_symmetry_Int_Tables_number 1
_cell_length_a 5.160
_cell_length_b 5.160
_cell_length_c 5.160
_cell_angle_alpha 90.00
_cell_angle_beta 90.00
_cell_angle_gamma 90.00
loop_
_symmetry_equiv_pos_as_xyz
'x,y,z'
loop_
_atom_site_label
_atom_site_type_symbol
_atom_site_fract_x
_atom_site_fract_y
_atom_site_fract_z
_atom_site_occupancy
B1 B 0.762 0.000 0.500 1
B2 B 0.500 0.000 0.762 1
B3 B 0.238 0.500 0.000 1
B4 B 0.500 0.000 0.238 1
B5 B 0.000 0.762 0.500 1
B6 B 0.000 0.500 0.762 1
B7 B 0.500 0.238 0.000 1
B8 B 0.000 0.238 0.500 1
B9 B 0.000 0.500 0.238 1
B10 B 0.762 0.500 0.000 1
B11 B 0.238 0.000 0.500 1
B12 B 0.500 0.762 0.000 1
Ba1 Ba 0.500 0.500 0.500 1

---

# BaB PBE optimized geometry
# DFT formation energy (meV/atom): 357.8
# Size of the total moment (μB per atom): 0.000
data_BaB
_symmetry_space_group_name_H-M 'P 1'
_symmetry_Int_Tables_number 1
_cell_length_a 11.754
_cell_length_b 5.188
_cell_length_c 5.840
_cell_angle_alpha 90.00
_cell_angle_beta 90.00
_cell_angle_gamma 90.00
loop_
_symmetry_equiv_pos_as_xyz
'x,y,z'
loop_
_atom_site_label
_atom_site_type_symbol
_atom_site_fract_x
_atom_site_fract_y
_atom_site_fract_z
_atom_site_occupancy
Ba1 Ba 0.687 0.000 0.659 1
Ba2 Ba 0.187 0.500 0.159 1
Ba3 Ba 0.313 0.000 0.659 1
Ba4 Ba 0.000 0.000 0.801 1
Ba5 Ba 0.813 0.500 0.159 1
Ba6 Ba 0.500 0.500 0.301 1
B1 B 0.000 0.500 0.591 1
B2 B 0.635 0.000 0.146 1
B3 B 0.865 0.500 0.646 1
B4 B 0.500 0.000 0.091 1
B5 B 0.135 0.500 0.646 1
B6 B 0.365 0.000 0.146 1

---

# BaB PBE optimized geometry
# DFT formation energy (meV/atom): 445.5
# Size of the total moment (μB per atom): 0.000
data_BaB
_symmetry_space_group_name_H-M 'P 1'
_symmetry_Int_Tables_number 1
_cell_length_a 7.216
_cell_length_b 10.129
_cell_length_c 11.988
_cell_angle_alpha 90.00
_cell_angle_beta 90.00
_cell_angle_gamma 90.00
loop_
_symmetry_equiv_pos_as_xyz
'x,y,z'
loop_
_atom_site_label
_atom_site_type_symbol
_atom_site_fract_x
_atom_site_fract_y
_atom_site_fract_z
_atom_site_occupancy
B1 B 0.641 0.750 0.250 1
B2 B 0.891 0.500 0.000 1
B3 B 0.141 0.250 0.250 1
B4 B 0.609 0.500 0.500 1
B5 B 0.859 0.750 0.250 1
B6 B 0.391 0.500 0.500 1
B7 B 0.859 0.250 0.750 1
B8 B 0.641 0.250 0.750 1
B9 B 0.359 0.750 0.750 1
B10 B 0.891 0.000 0.500 1
B11 B 0.359 0.250 0.250 1
B12 B 0.609 0.000 0.000 1
B13 B 0.109 0.000 0.500 1
B14 B 0.141 0.750 0.750 1
B15 B 0.391 0.000 0.000 1
B16 B 0.109 0.500 0.000 1
Ba1 Ba 0.500 0.789 0.500 1
Ba2 Ba 0.250 0.539 0.250 1
Ba3 Ba 0.500 0.711 0.000 1
Ba4 Ba 0.500 0.289 0.000 1
Ba5 Ba 0.250 0.461 0.750 1
Ba6 Ba 0.000 0.211 0.000 1
Ba7 Ba 0.750 0.961 0.750 1
Ba8 Ba 0.500 0.211 0.500 1
Ba9 Ba 0.750 0.461 0.250 1
Ba10 Ba 0.750 0.039 0.250 1
Ba11 Ba 0.750 0.539 0.750 1
Ba12 Ba 0.000 0.711 0.500 1
Ba13 Ba 0.000 0.789 0.000 1
Ba14 Ba 0.250 0.039 0.750 1
Ba15 Ba 0.000 0.289 0.500 1
Ba16 Ba 0.250 0.961 0.250 1

---

# Ba4B PBE optimized geometry
# DFT formation energy (meV/atom): 401.1
# Size of the total moment (μB per atom): 0.274
data_Ba4B
_symmetry_space_group_name_H-M 'P 1'
_symmetry_Int_Tables_number 1
_cell_length_a 6.277
_cell_length_b 6.277
_cell_length_c 6.277
_cell_angle_alpha 90.00
_cell_angle_beta 90.00
_cell_angle_gamma 90.00
loop_
_symmetry_equiv_pos_as_xyz
'x,y,z'
loop_
_atom_site_label
_atom_site_type_symbol
_atom_site_fract_x
_atom_site_fract_y
_atom_site_fract_z
_atom_site_occupancy
Ba1 Ba 0.000 0.500 0.500 1
Ba2 Ba 0.500 0.000 0.500 1
Ba3 Ba 0.000 0.000 0.000 1
Ba4 Ba 0.500 0.500 0.000 1
B1 B 0.500 0.500 0.500 1

---

# BaB12 PBE optimized geometry
# DFT formation energy (meV/atom): 120.0
# Size of the total moment (μB per atom): 0.000
data_BaB12
_symmetry_space_group_name_H-M 'P 1'
_symmetry_Int_Tables_number 1
_cell_length_a 5.493
_cell_length_b 5.493
_cell_length_c 5.493
_cell_angle_alpha 60.00
_cell_angle_beta 60.00
_cell_angle_gamma 60.00
loop_
_symmetry_equiv_pos_as_xyz
'x,y,z'
loop_
_atom_site_label
_atom_site_type_symbol
_atom_site_fract_x
_atom_site_fract_y
_atom_site_fract_z
_atom_site_occupancy
B1 B 0.832 0.168 0.500 1
B2 B 0.500 0.832 0.500 1
B3 B 0.500 0.832 0.168 1
B4 B 0.500 0.168 0.500 1
B5 B 0.500 0.500 0.832 1
B6 B 0.500 0.168 0.832 1
B7 B 0.168 0.500 0.500 1
B8 B 0.832 0.500 0.500 1
B9 B 0.832 0.500 0.168 1
B10 B 0.500 0.500 0.168 1
B11 B 0.168 0.832 0.500 1
B12 B 0.168 0.500 0.832 1
Ba1 Ba 0.000 0.000 0.000 1

---

# BaB PBE optimized geometry
# DFT formation energy (meV/atom): 379.4
# Size of the total moment (μB per atom): 0.000
data_BaB
_symmetry_space_group_name_H-M 'P 1'
_symmetry_Int_Tables_number 1
_cell_length_a 6.691
_cell_length_b 6.691
_cell_length_c 5.745
_cell_angle_alpha 90.00
_cell_angle_beta 90.00
_cell_angle_gamma 90.00
loop_
_symmetry_equiv_pos_as_xyz
'x,y,z'
loop_
_atom_site_label
_atom_site_type_symbol
_atom_site_fract_x
_atom_site_fract_y
_atom_site_fract_z
_atom_site_occupancy
Ba1 Ba 0.305 0.305 0.000 1
Ba2 Ba 0.695 0.695 0.000 1
Ba3 Ba 0.805 0.195 0.500 1
Ba4 Ba 0.195 0.805 0.500 1
B1 B 0.918 0.082 0.000 1
B2 B 0.582 0.582 0.500 1
B3 B 0.082 0.918 0.000 1
B4 B 0.418 0.418 0.500 1

---

# BaB PBE optimized geometry
# DFT formation energy (meV/atom): 47.9
# Size of the total moment (μB per atom): 0.000
data_BaB
_symmetry_space_group_name_H-M 'P 1'
_symmetry_Int_Tables_number 1
_cell_length_a 9.723
_cell_length_b 6.148
_cell_length_c 8.127
_cell_angle_alpha 90.00
_cell_angle_beta 90.00
_cell_angle_gamma 90.00
loop_
_symmetry_equiv_pos_as_xyz
'x,y,z'
loop_
_atom_site_label
_atom_site_type_symbol
_atom_site_fract_x
_atom_site_fract_y
_atom_site_fract_z
_atom_site_occupancy
Ba1 Ba 0.811 0.750 0.727 1
Ba2 Ba 0.399 0.750 0.295 1
Ba3 Ba 0.101 0.250 0.795 1
Ba4 Ba 0.601 0.250 0.705 1
Ba5 Ba 0.311 0.750 0.773 1
Ba6 Ba 0.689 0.250 0.227 1
Ba7 Ba 0.189 0.250 0.273 1
Ba8 Ba 0.899 0.750 0.205 1
B1 B 0.532 0.619 0.993 1
B2 B 0.468 0.381 0.007 1
B3 B 0.532 0.881 0.993 1
B4 B 0.032 0.881 0.507 1
B5 B 0.468 0.119 0.007 1
B6 B 0.968 0.381 0.493 1
B7 B 0.032 0.619 0.507 1
B8 B 0.968 0.119 0.493 1

---

Repeat the first record exactly.
# BaB PBE optimized geometry
# DFT formation energy (meV/atom): 1502.1
# Size of the total moment (μB per atom): 1.173
data_BaB
_symmetry_space_group_name_H-M 'P 1'
_symmetry_Int_Tables_number 1
_cell_length_a 6.833
_cell_length_b 6.833
_cell_length_c 6.833
_cell_angle_alpha 90.00
_cell_angle_beta 90.00
_cell_angle_gamma 90.00
loop_
_symmetry_equiv_pos_as_xyz
'x,y,z'
loop_
_atom_site_label
_atom_site_type_symbol
_atom_site_fract_x
_atom_site_fract_y
_atom_site_fract_z
_atom_site_occupancy
Ba1 Ba 0.000 0.000 0.000 1
Ba2 Ba 0.500 0.000 0.500 1
Ba3 Ba 0.000 0.500 0.500 1
Ba4 Ba 0.500 0.500 0.000 1
B1 B 0.750 0.250 0.750 1
B2 B 0.250 0.250 0.250 1
B3 B 0.250 0.750 0.750 1
B4 B 0.750 0.750 0.250 1